1.
DFT (PBE) results for a relaxed RbCoCl3 crystal.

The calculation puts the uncorrected formation energy at -5.5 eV per formula unit.

a b c (Å): 7.0890 7.0890 11.4939
angles (deg): 90.00 90.00 120.00
Space group P6_3/mmc (No. 194)
Asymmetric unit:
1 Rb 0.0000 0.0000 0.0000 x2
2 Rb 0.3333 0.6667 0.2500 x2
3 Co 0.3333 0.6667 0.6260 x4
4 Cl 0.0000 0.5000 0.0000 x6
5 Cl 0.1761 0.3522 0.7500 x6

2.
DFT (PBE) results for a relaxed Li2NdTm2Ge2 crystal.

The calculation puts the formation energy at -0.481 eV per atom.

a b c (Å): 4.5046 4.5046 26.5175
angles (deg): 90.00 90.00 120.00
Space group R-3m (No. 166, hexagonal axes)
Asymmetric unit:
1 Li 0.0000 0.0000 0.0919 x6
2 Nd 0.0000 0.0000 0.5000 x3
3 Tm 0.0000 0.0000 0.3711 x6
4 Ge 0.0000 0.0000 0.2421 x6